Entry 1:
First-principles (meta-GGA SCAN) data for BaAgPb2 at its PBEsol-relaxed geometry, as listed in Alexandria via LeMat-Bulk.

```
BaAgPb2
1.0
-2.030 2.067 3.819
4.281 -2.119 0.414
0.577 6.008 -2.945
Pb Ba Ag
2 1 1
direct
0.719 0.438 0.657 Pb
0.281 0.562 0.343 Pb
0.500 0.000 0.000 Ba
0.000 0.000 0.500 Ag
```

crystal system: trigonal
space group: R-3m, No. 166
ΔE to the lowest computed polymorph: 0.040 eV/atom
calculated formation energy: -394.6 meV per atom



Entry 2:
First-principles (meta-GGA SCAN) data for InP2SeO at its PBEsol-relaxed geometry, as listed in Alexandria via LeMat-Bulk.

```
InP2SeO
1.0
-2.701 0.374 2.790
0.509 -4.882 1.148
3.601 1.159 3.332
P O Se In
2 1 1 1
direct
0.000 0.000 0.500 P
0.000 0.500 0.000 P
0.500 0.000 0.000 O
0.500 0.500 0.500 Se
0.000 0.000 0.000 In
```

crystal system: tetragonal
space group: P4/mmm, No. 123
uncorrected formation energy: 0.701 eV per atom



Entry 3:
First-principles (meta-GGA SCAN) data for LiTl2Co at its PBEsol-relaxed geometry, as listed in Alexandria via LeMat-Bulk.

```
LiTl2Co
1.0
3.213 0.000 0.000
1.607 2.783 0.000
1.607 0.928 8.555
Co Li Tl
1 1 2
direct
0.500 0.500 0.500 Co
0.000 0.000 0.000 Li
0.243 0.243 0.270 Tl
0.757 0.757 0.730 Tl
```

crystal system: trigonal
space group: R-3m, No. 166
calculated formation energy: 274.2 meV per atom



Entry 4:
First-principles (meta-GGA SCAN) data for Zn4InSe at its PBEsol-relaxed geometry, as listed in Alexandria via LeMat-Bulk.

```
Zn4InSe
1.0
5.283 0.000 0.000
2.642 4.575 0.000
2.642 1.525 4.314
In Se Zn
1 1 4
direct
0.750 0.750 0.750 In
0.000 0.000 0.000 Se
0.873 0.376 0.376 Zn
0.376 0.376 0.376 Zn
0.376 0.376 0.873 Zn
0.376 0.873 0.376 Zn
```

crystal system: cubic
space group: F-43m, No. 216
uncorrected formation energy: 0.193 eV per atom